Density functional theory data (PBE-GGA) for a relaxed structure of GaOs2O.

CIF file:
```
data_GaOs2O
_chemical_formula_sum 'Ga1 Os2 O1'
_cell_length_a 4.170
_cell_length_b 4.170
_cell_length_c 4.170
_cell_angle_alpha 60.00
_cell_angle_beta 60.00
_cell_angle_gamma 60.00
_symmetry_space_group_name_H-M 'P 1'
_symmetry_Int_Tables_number 1
_symmetry_space_group_name_Hall 'P 1'
loop_
_atom_site_label
_atom_site_type_symbol
_atom_site_fract_x
_atom_site_fract_y
_atom_site_fract_z
_atom_site_occupancy
Os1 Os 0.250 0.250 0.250 1
Os2 Os 0.750 0.750 0.750 1
O1 O 0.000 0.000 0.000 1
Ga1 Ga 0.500 0.500 0.500 1
```

Summary:
- Formation energy without anion corrections: 0.779 eV/atom